[1]
VASP calculation (PBE) on MnOs2Se after structural relaxation.

Properties
Fermi-level density of states, states/eV/f.u.: 2.77
Energy relative to the elements, uncorrected, eV per atom: 0.48

Lattice parameters (Å, degrees): 9.0620 2.8891 4.5147 90.00 92.22 90.00
Space group Cm (No. 8)
Inequivalent atoms, fractional coordinates:
Mn 0.0000 0.0000 0.0000
Os 0.2325 0.5000 0.2653
Os 0.4626 0.0000 0.4755
Se 0.2425 0.0000 0.8074

---

[2]
VASP calculation (PBE) on MnOs2Se after structural relaxation.

Properties
Fermi-level density of states, states/eV/f.u.: 5.26
Energy relative to the elements, uncorrected, eV per atom: 0.40

Lattice parameters (Å, degrees): 2.8182 2.8182 24.9317 90.00 90.00 120.00
Space group R3m (No. 160, hexagonal axes)
Inequivalent atoms, fractional coordinates:
Mn 0.0000 0.0000 0.0000
Os 0.0000 0.0000 0.2476
Os 0.0000 0.0000 0.4975
Se 0.0000 0.0000 0.7381

---

What are the size of the total moment values for these records? In order: 4.85 4.85 Bohr magnetons per cell.